DFT (GGA-PBE) results for crystalline KHoAsO at its relaxed geometry.

Results
- ΔE to the lowest computed polymorph (meV per atom) = 98
- total magnetic moment (μB per cell) = 0.01
- total DFT energy (no corrections) (eV/cell) = -42.61

Cell and atoms, written as CIF:
```
data_KHoAsO
_chemical_formula_sum 'K2 Ho2 As2 O2'
_cell_length_a 4.008
_cell_length_b 4.008
_cell_length_c 10.817
_cell_angle_alpha 90.00
_cell_angle_beta 90.00
_cell_angle_gamma 90.00
_space_group_name_H-M_alt 'P 4/n m m'
_space_group_IT_number 129
loop_
_space_group_symop_operation_xyz
'x,y,z'
'-x,-y,-z'
'-y+1/2,x,z'
'y+1/2,-x,-z'
'-x+1/2,-y+1/2,z'
'x+1/2,y+1/2,-z'
'y,-x+1/2,z'
'-y,x+1/2,-z'
'x+1/2,-y,-z'
'-x+1/2,y,z'
'-y,-x,-z'
'y,x,z'
'-x,y+1/2,-z'
'x,-y+1/2,z'
'y+1/2,x+1/2,-z'
'-y+1/2,-x+1/2,z'
loop_
_atom_site_label
_atom_site_type_symbol
_atom_site_fract_x
_atom_site_fract_y
_atom_site_fract_z
K1 K 0.250 0.750 0.000
Ho1 Ho 0.250 0.250 0.405
As1 As 0.250 0.250 0.769
O1 O 0.250 0.750 0.500
```